Compound: CeHo2Pu
Source: Alexandria via LeMat-Bulk
Functional: GGA-PBE
Structure: relaxed

Results
crystal system	tetragonal
SG	P4/mmm (123)
final energy	-7.22	eV/atom
ΔE to the lowest computed polymorph	4	meV/atom
mass density	9.9	g/cm³

a = 3.4510 Å, b = 3.4510 Å, c = 10.0570 Å
α = 90.00°, β = 90.00°, γ = 90.00°
Element x y z (fractional)
1 Ce 0.0000 0.0000 0.0000
2 Ho 0.5000 0.5000 0.2537
3 Ho 0.5000 0.5000 0.7463
4 Pu 0.0000 0.0000 0.5000

Compound: Li2ScFe
Source: Alexandria via LeMat-Bulk
Functional: GGA-PBE
Structure: relaxed

Results
crystal system	orthorhombic
SG	Imm2 (44)
final energy	-4.33	eV/atom
ΔE to the lowest computed polymorph	155	meV/atom
mass density	2.9	g/cm³

a = 5.2738 Å, b = 5.2738 Å, c = 5.2738 Å
α = 146.15°, β = 125.21°, γ = 65.98°
Element x y z (fractional)
1 Li 0.0000 0.0000 0.0000
2 Li 0.7620 0.2620 0.5000
3 Sc 0.2816 0.7816 0.5000
4 Fe 0.5277 0.5277 0.0000

Compound: Ta2InCoCl
Source: Alexandria via LeMat-Bulk
Functional: GGA-PBE
Structure: relaxed

Results
crystal system	tetragonal
SG	P4/mmm (123)
energy relative to the elements, uncorrected	2.15	eV per atom
final energy	-4.93	eV/atom
mass density	7.7	g/cm³

a = 5.1858 Å, b = 5.1858 Å, c = 4.5690 Å
α = 90.00°, β = 90.00°, γ = 90.00°
Element x y z (fractional)
1 Ta 0.0000 0.5000 0.0000
2 Ta 0.5000 0.0000 0.0000
3 In 0.0000 0.0000 0.0000
4 Co 0.0000 0.0000 0.5000
5 Cl 0.5000 0.5000 0.5000